This record from Alexandria describes a geometry-optimized NbCrGaO6 structure. The functional is PBE with a Hubbard U.

```
data_NbCrGaO6
_cell_length_a 4.636
_cell_length_b 4.636
_cell_length_c 9.109
_cell_angle_alpha 90.00
_cell_angle_beta 90.00
_cell_angle_gamma 90.00
_symmetry_space_group_name_H-M 'P 1'
_symmetry_Int_Tables_number 1
loop_
_symmetry_equiv_pos_as_xyz
'x,y,z'
loop_
_atom_site_label
_atom_site_type_symbol
_atom_site_fract_x
_atom_site_fract_y
_atom_site_fract_z
_atom_site_occupancy
Nb1 Nb 0.500 0.500 0.171 1
O1 O 0.294 0.294 0.000 1
O2 O 0.794 0.206 0.500 1
Cr1 Cr 0.000 0.000 0.001 1
O3 O 0.197 0.803 0.835 1
O4 O 0.303 0.303 0.335 1
O5 O 0.706 0.706 0.000 1
O6 O 0.206 0.794 0.500 1
O7 O 0.807 0.193 0.162 1
Ga1 Ga 0.000 0.000 0.333 1
O8 O 0.193 0.807 0.162 1
O9 O 0.693 0.693 0.662 1
Nb2 Nb 0.000 0.000 0.671 1
O10 O 0.307 0.307 0.662 1
Cr2 Cr 0.500 0.500 0.501 1
O11 O 0.697 0.697 0.335 1
O12 O 0.803 0.197 0.835 1
Ga2 Ga 0.500 0.500 0.833 1
```

Values from the calculation:
density: 5.27 g/cm3
total magnetic moment: 3.99 Bohr magnetons per cell
space group: P4_2nm, No. 102
V: 196 Å³/cell
electronic total energy: -68.1 eV per formula unit